Below is an optimized crystal structure of LaMg2SiCl, with properties calculated at the PBEsol level.

Geometry as CIF:
```
data_LaMg2SiCl
_cell_length_a 4.920
_cell_length_b 4.920
_cell_length_c 5.518
_cell_angle_alpha 90.00
_cell_angle_beta 90.00
_cell_angle_gamma 90.00
_symmetry_space_group_name_H-M 'P 4/m m m'
_symmetry_Int_Tables_number 123
_symmetry_space_group_name_Hall '-P 4 2'
loop_
_atom_site_label
_atom_site_type_symbol
_atom_site_fract_x
_atom_site_fract_y
_atom_site_fract_z
La1 La 0.000 0.000 0.000
Mg1 Mg 0.000 0.500 0.500
Si1 Si 0.500 0.500 0.500
Cl1 Cl 0.500 0.500 0.000
```

## Properties
Uncorrected energy (eV for the cell shown): -16.19
Crystal system: tetragonal
Formation energy (no corrections) (eV/atom): 0.069
Fermi-level density of states (states/eV/f.u.): 4.76

---

Below is an optimized crystal structure of HfMgH2, with properties calculated at the PBEsol level.

Geometry as CIF:
```
data_HfMgH2
_cell_length_a 4.558
_cell_length_b 4.558
_cell_length_c 9.331
_cell_angle_alpha 90.00
_cell_angle_beta 90.00
_cell_angle_gamma 90.00
_symmetry_space_group_name_H-M 'I -4 2 d'
_symmetry_Int_Tables_number 122
_symmetry_space_group_name_Hall 'I -4 2bw'
loop_
_atom_site_label
_atom_site_type_symbol
_atom_site_fract_x
_atom_site_fract_y
_atom_site_fract_z
Hf1 Hf 0.000 0.000 0.000
Mg1 Mg 0.000 0.000 0.500
H1 H 0.227 0.250 0.125
```

## Properties
Uncorrected energy (eV for the cell shown): -77.71
Crystal system: tetragonal
Fermi-level density of states (states/eV/f.u.): 1.38

---

Below is an optimized crystal structure of Hf3PBr, with properties calculated at the PBEsol level.

Geometry as CIF:
```
data_Hf3PBr
_cell_length_a 4.813
_cell_length_b 4.813
_cell_length_c 4.813
_cell_angle_alpha 90.00
_cell_angle_beta 90.00
_cell_angle_gamma 90.00
_symmetry_space_group_name_H-M 'P m -3 m'
_symmetry_Int_Tables_number 221
_symmetry_space_group_name_Hall '-P 4 2 3'
loop_
_atom_site_label
_atom_site_type_symbol
_atom_site_fract_x
_atom_site_fract_y
_atom_site_fract_z
Hf1 Hf 0.000 0.000 0.500
P1 P 0.500 0.500 0.500
Br1 Br 0.000 0.000 0.000
```

## Properties
Uncorrected energy (eV for the cell shown): -34.82
Crystal system: cubic
Formation energy (no corrections) (eV/atom): 0.869
Fermi-level density of states (states/eV/f.u.): 4.72

---

Below is an optimized crystal structure of CoTcPt2, with properties calculated at the PBEsol level.

Geometry as CIF:
```
data_CoTcPt2
_cell_length_a 8.865
_cell_length_b 2.671
_cell_length_c 4.659
_cell_angle_alpha 90.00
_cell_angle_beta 100.12
_cell_angle_gamma 90.00
_symmetry_space_group_name_H-M 'C 1 m 1'
_symmetry_Int_Tables_number 8
_symmetry_space_group_name_Hall 'C -2y'
loop_
_atom_site_label
_atom_site_type_symbol
_atom_site_fract_x
_atom_site_fract_y
_atom_site_fract_z
Co1 Co 0.000 0.000 0.000
Tc1 Tc 0.240 0.500 0.244
Pt1 Pt 0.252 0.000 0.762
Pt2 Pt 0.493 0.000 0.479
```

## Properties
Uncorrected energy (eV for the cell shown): -66.44
Energy above the lowest structure with this stoichiometry (meV per atom): 34
Crystal system: monoclinic
E_form (eV per atom): -0.072
Fermi-level density of states (states/eV/f.u.): 4.17

---

Below is an optimized crystal structure of AuCl3, with properties calculated at the PBEsol level.

Geometry as CIF:
```
data_AuCl3
_cell_length_a 3.510
_cell_length_b 6.614
_cell_length_c 7.689
_cell_angle_alpha 90.00
_cell_angle_beta 90.00
_cell_angle_gamma 90.00
_symmetry_space_group_name_H-M 'I m m m'
_symmetry_Int_Tables_number 71
_symmetry_space_group_name_Hall '-I 2 2'
loop_
_atom_site_label
_atom_site_type_symbol
_atom_site_fract_x
_atom_site_fract_y
_atom_site_fract_z
Au1 Au 0.000 0.000 0.000
Cl1 Cl 0.000 0.000 0.500
Cl2 Cl 0.000 0.500 0.294
```

## Properties
Uncorrected energy (eV for the cell shown): -20.31
Crystal system: orthorhombic
Formation energy (no corrections) (eV/atom): -0.052
Fermi-level density of states (states/eV/f.u.): 0.39

---

Below is an optimized crystal structure of K2BeNi, with properties calculated at the PBEsol level.

Geometry as CIF:
```
data_K2BeNi
_cell_length_a 3.0487
_cell_length_b 3.0487
_cell_length_c 32.1052
_cell_angle_alpha 90.00
_cell_angle_beta 90.00
_cell_angle_gamma 120.00
_symmetry_space_group_name_H-M 'R -3 m'
_symmetry_Int_Tables_number 166
_symmetry_space_group_name_Hall '-R 3 2"'
loop_
_atom_site_label
_atom_site_type_symbol
_atom_site_fract_x
_atom_site_fract_y
_atom_site_fract_z
K1 K 0.0000 0.0000 0.2439
Be1 Be 0.0000 0.0000 0.0000
Ni1 Ni 0.0000 0.0000 0.5000
```

## Properties
Uncorrected energy (eV for the cell shown): -22.53
Crystal system: trigonal
E_form (eV per atom): 1.228
Fermi-level density of states (states/eV/f.u.): 2.43

---

Below is an optimized crystal structure of MgInSeBr2, with properties calculated at the PBEsol level.

Geometry as CIF:
```
data_MgInSeBr2
_cell_length_a 5.316
_cell_length_b 5.316
_cell_length_c 5.306
_cell_angle_alpha 90.00
_cell_angle_beta 90.00
_cell_angle_gamma 90.00
_symmetry_space_group_name_H-M 'P 4/m m m'
_symmetry_Int_Tables_number 123
_symmetry_space_group_name_Hall '-P 4 2'
loop_
_atom_site_label
_atom_site_type_symbol
_atom_site_fract_x
_atom_site_fract_y
_atom_site_fract_z
Mg1 Mg 0.000 0.000 0.000
In1 In 0.500 0.500 0.500
Se1 Se 0.500 0.500 0.000
Br1 Br 0.000 0.500 0.500
```

## Properties
Uncorrected energy (eV for the cell shown): -13.80
Crystal system: tetragonal
Formation energy (no corrections) (eV/atom): -0.302
Fermi-level density of states (states/eV/f.u.): 1.49

---

Below is an optimized crystal structure of Ba2MgZn2, with properties calculated at the PBEsol level.

Geometry as CIF:
```
data_Ba2MgZn2
_cell_length_a 6.361
_cell_length_b 6.361
_cell_length_c 8.326
_cell_angle_alpha 90.00
_cell_angle_beta 90.00
_cell_angle_gamma 90.00
_symmetry_space_group_name_H-M 'I 4/m m m'
_symmetry_Int_Tables_number 139
_symmetry_space_group_name_Hall '-I 4 2'
loop_
_atom_site_label
_atom_site_type_symbol
_atom_site_fract_x
_atom_site_fract_y
_atom_site_fract_z
Ba1 Ba 0.000 0.500 0.250
Mg1 Mg 0.000 0.000 0.000
Zn1 Zn 0.000 0.000 0.357
```

## Properties
Uncorrected energy (eV for the cell shown): -18.25
Energy above the lowest structure with this stoichiometry (meV per atom): 86
Crystal system: tetragonal
E_form (eV per atom): 0.011
Fermi-level density of states (states/eV/f.u.): 4.38

---

Below is an optimized crystal structure of Rb2NaPdF6, with properties calculated at the PBEsol level.

Geometry as CIF:
```
data_Rb2NaPdF6
_cell_length_a 8.531
_cell_length_b 8.531
_cell_length_c 8.531
_cell_angle_alpha 90.00
_cell_angle_beta 90.00
_cell_angle_gamma 90.00
_symmetry_space_group_name_H-M 'F m -3 m'
_symmetry_Int_Tables_number 225
_symmetry_space_group_name_Hall '-F 4 2 3'
loop_
_atom_site_label
_atom_site_type_symbol
_atom_site_fract_x
_atom_site_fract_y
_atom_site_fract_z
Rb1 Rb 0.250 0.250 0.250
Na1 Na 0.000 0.000 0.000
Pd1 Pd 0.000 0.000 0.500
F1 F 0.000 0.000 0.263
```

## Properties
Uncorrected energy (eV for the cell shown): -173.92
Crystal system: cubic
Formation energy (no corrections) (eV/atom): -2.251
Fermi-level density of states (states/eV/f.u.): 5.23

---

Below is an optimized crystal structure of Ba5Dy8Zn4O21, with properties calculated at the PBEsol level.

Geometry as CIF:
```
data_Ba5Dy8Zn4O21
_cell_length_a 13.688
_cell_length_b 13.688
_cell_length_c 5.675
_cell_angle_alpha 90.00
_cell_angle_beta 90.00
_cell_angle_gamma 90.00
_symmetry_space_group_name_H-M 'I 4/m'
_symmetry_Int_Tables_number 87
_symmetry_space_group_name_Hall '-I 4'
loop_
_atom_site_label
_atom_site_type_symbol
_atom_site_fract_x
_atom_site_fract_y
_atom_site_fract_z
Ba1 Ba 0.000 0.000 0.000
Ba2 Ba 0.036 0.639 0.500
Dy1 Dy 0.088 0.143 0.500
Dy2 Dy 0.168 0.753 0.000
Zn1 Zn 0.040 0.251 0.000
O1 O 0.000 0.000 0.500
O2 O 0.038 0.628 0.000
O3 O 0.048 0.823 0.250
O4 O 0.148 0.258 0.247
```

## Properties
Uncorrected energy (eV for the cell shown): -556.99
Crystal system: tetragonal
Formation energy (no corrections) (eV/atom): -2.931
Fermi-level density of states (states/eV/f.u.): 0.00

---

Below is an optimized crystal structure of KCrS2, with properties calculated at the PBEsol level.

Geometry as CIF:
```
data_KCrS2
_cell_length_a 3.6096
_cell_length_b 3.6096
_cell_length_c 20.8785
_cell_angle_alpha 90.00
_cell_angle_beta 90.00
_cell_angle_gamma 120.00
_symmetry_space_group_name_H-M 'R -3 m'
_symmetry_Int_Tables_number 166
_symmetry_space_group_name_Hall '-R 3 2"'
loop_
_atom_site_label
_atom_site_type_symbol
_atom_site_fract_x
_atom_site_fract_y
_atom_site_fract_z
K1 K 0.0000 0.0000 0.0000
Cr1 Cr 0.0000 0.0000 0.5000
S1 S 0.0000 0.0000 0.2253
```

## Properties
Uncorrected energy (eV for the cell shown): -71.66
Crystal system: trigonal
Formation energy (no corrections) (eV/atom): -0.935

---

Below is an optimized crystal structure of AlPNCl5, with properties calculated at the PBEsol level.

Geometry as CIF:
```
data_AlPNCl5
_cell_length_a 7.307
_cell_length_b 8.472
_cell_length_c 8.553
_cell_angle_alpha 65.66
_cell_angle_beta 76.63
_cell_angle_gamma 69.26
_symmetry_space_group_name_H-M 'P -1'
_symmetry_Int_Tables_number 2
_symmetry_space_group_name_Hall '-P 1'
loop_
_atom_site_label
_atom_site_type_symbol
_atom_site_fract_x
_atom_site_fract_y
_atom_site_fract_z
Al1 Al 0.079 0.431 0.371
P1 P 0.292 0.228 0.715
N1 N 0.136 0.377 0.595
Cl1 Cl 0.004 0.774 0.651
Cl2 Cl 0.264 0.980 0.802
Cl3 Cl 0.283 0.277 0.925
Cl4 Cl 0.298 0.515 0.172
Cl5 Cl 0.433 0.800 0.395
```

## Properties
Uncorrected energy (eV for the cell shown): -73.35
Crystal system: triclinic
Formation energy (no corrections) (eV/atom): -1.028
Fermi-level density of states (states/eV/f.u.): 0.00